# 1
RbSrP2 PBE optimized geometry; SG = Fm-3m; energy relative to the elements = -0.06 eV per atom
1.0
0.000 3.830 3.830
3.830 0.000 3.830
3.830 3.830 0.000
Rb Sr P
1 1 2
Direct
0.000 0.000 0.000 Rb
0.500 0.500 0.500 Sr
0.250 0.250 0.250 P
0.750 0.750 0.750 P

# 2
K2CaPb2 PBE optimized geometry; SG = P4/mbm; energy relative to the elements = -0.12 eV per atom
1.0
8.567 0.000 0.000
0.000 8.567 0.000
0.000 0.000 5.677
K Ca Pb
4 2 4
Direct
0.171 0.329 0.000 K
0.329 0.829 0.000 K
0.671 0.171 0.000 K
0.829 0.671 0.000 K
0.000 0.000 0.500 Ca
0.500 0.500 0.500 Ca
0.123 0.623 0.500 Pb
0.377 0.123 0.500 Pb
0.623 0.877 0.500 Pb
0.877 0.377 0.500 Pb

# 3
Pu2PaTcN4 PBE optimized geometry; E_form (uncorrected) = -1007 meV per atom; SG = Cmcm
1.0
1.663 -5.830 0.000
1.663 5.830 0.000
0.000 0.000 11.644
Pu Pa Tc N
4 2 2 8
Direct
0.131 0.869 0.552 Pu
0.131 0.869 0.948 Pu
0.869 0.131 0.052 Pu
0.869 0.131 0.448 Pu
0.386 0.614 0.750 Pa
0.614 0.386 0.250 Pa
0.355 0.645 0.250 Tc
0.645 0.355 0.750 Tc
0.034 0.966 0.750 N
0.219 0.781 0.132 N
0.219 0.781 0.368 N
0.500 0.500 0.000 N
0.500 0.500 0.500 N
0.781 0.219 0.632 N
0.781 0.219 0.868 N
0.966 0.034 0.250 N

Number 1: E_tot -3.43 eV per atom, total magnetization 0.000 μB/atom. Number 2: E_tot -2.44 eV per atom, total magnetization 0.000 μB/atom. Number 3: E_tot -11.24 eV per atom, total magnetization 1.105 μB/atom.